YPaCoO6 | PBE with a Hubbard U | relaxed

Total moment   1.01 μB per cell
Symmetry   No. 149
Crystal system   trigonal
E_tot   -73.19 eV per cell

a b c (Å): 4.808 5.279 5.279
angles (deg): 120.00 90.00 90.00
Element x y z (fractional)
Y: 0.500 0.667 0.333
Pa: 0.000 0.333 0.667
Co: 0.500 0.000 0.000
O: 0.733 0.692 0.713
O: 0.733 0.287 0.979
O: 0.733 0.021 0.308
O: 0.267 0.287 0.308
O: 0.267 0.692 0.979
O: 0.267 0.021 0.713